DFT (GGA-PBE) results for a relaxed structure of MgP2RuCl.

Cell: 4.5169 4.5169 5.2051 Å, 90.00 90.00 90.00°
Closest atoms and distances in Å follow each position.
Sites, in units of the cell vectors:
P 0.0000 0.5000 0.0000  2 Ru 2.26
P 0.5000 0.0000 0.0000  2 Ru 2.26
Cl 0.0000 0.0000 0.5000  2 Ru 2.60
Ru 0.0000 0.0000 0.0000  4 P 2.26
Mg 0.5000 0.5000 0.5000  4 Cl 3.19, 8 P 3.45

Computed properties:
M_tot: 0.0 μB/f.u.
ΔE to the lowest computed polymorph: 0 meV per atom
SG: P4/mmm, No. 123
ΔE_f (raw): 0.15 eV per atom

***

DFT (GGA-PBE) results for a relaxed structure of Pm3Tm2Th.

Cell: 11.5877 6.2470 6.2470 Å, 119.93 90.00 90.00°
Closest atoms and distances in Å follow each position.
Sites, in units of the cell vectors:
Th 0.7196 0.8326 0.8326  6 Pm 3.55-3.57, 6 Tm 3.60-3.62
Th 0.2196 0.1674 0.1674  6 Pm 3.55-3.57, 6 Tm 3.60-3.62
Pm 0.9696 0.8363 0.1642  6 Pm 3.55-3.64, 2 Th 3.55, 4 Tm 3.56-3.59
Pm 0.9696 0.1642 0.8363  6 Pm 3.55-3.64, 2 Th 3.55, 4 Tm 3.56-3.59
Pm 0.9698 0.5003 0.5003  4 Tm 3.56-3.57, 2 Th 3.57, 6 Pm 3.59-3.63
Pm 0.4698 0.4997 0.4997  4 Tm 3.56-3.57, 2 Th 3.57, 6 Pm 3.59-3.63
Pm 0.4696 0.8358 0.1637  6 Pm 3.55-3.64, 2 Th 3.55, 4 Tm 3.56-3.59
Pm 0.4696 0.1637 0.8358  6 Pm 3.55-3.64, 2 Th 3.55, 4 Tm 3.56-3.59
Tm 0.2196 0.5026 0.8342  6 Pm 3.56-3.59, 3 Tm 3.59-3.62, 3 Th 3.60-3.62
Tm 0.2196 0.8342 0.5026  6 Pm 3.56-3.59, 3 Tm 3.59-3.62, 3 Th 3.60-3.62
Tm 0.7196 0.4974 0.1658  6 Pm 3.56-3.59, 3 Tm 3.59-3.62, 3 Th 3.60-3.62
Tm 0.7196 0.1658 0.4974  6 Pm 3.56-3.59, 3 Tm 3.59-3.62, 3 Th 3.60-3.62

Computed properties:
M_tot: 0.0 μB/f.u.
ΔE to the lowest computed polymorph: 0 meV per atom
SG: Cmcm, No. 63
Energy relative to the elements: 36 meV/atom

***

DFT (GGA-PBE) results for a relaxed structure of NbGa2Pt.

Cell: 7.1137 7.1137 5.7478 Å, 51.77 51.77 90.00°
Closest atoms and distances in Å follow each position.
Sites, in units of the cell vectors:
Ga 0.8750 0.8989 0.7500  2 Pt 2.50, 2 Nb 2.73
Ga 0.3750 0.3511 0.7500  2 Pt 2.50, 2 Nb 2.73
Ga 0.1011 0.6250 0.2500  2 Pt 2.50, 2 Nb 2.73
Ga 0.6489 0.1250 0.2500  2 Pt 2.50, 2 Nb 2.73
Pt 0.0000 0.0000 0.0000  4 Ga 2.50, 2 Nb 2.78
Pt 0.7500 0.2500 0.5000  4 Ga 2.50, 2 Nb 2.78
Nb 0.5000 0.5000 0.0000  4 Ga 2.73, 2 Pt 2.78
Nb 0.2500 0.7500 0.5000  4 Ga 2.73, 2 Pt 2.78

Computed properties:
M_tot: 0.0 μB/f.u.
SG: I-42d, No. 122
Energy relative to the elements: -168 meV/atom

***

DFT (GGA-PBE) results for a relaxed structure of Ba2Ca4Sb3Cl2.

Cell: 5.2911 5.2911 13.6382 Å, 101.19 101.19 90.00°
Closest atoms and distances in Å follow each position.
Sites, in units of the cell vectors:
Sb 0.0000 0.0000 0.0000  8 Ca 3.35
Sb 0.8380 0.8380 0.6759  4 Ca 3.44, 1 Ba 3.59
Sb 0.1620 0.1620 0.3241  4 Ca 3.44, 1 Ba 3.59
Ba 0.7012 0.7012 0.4024  1 Cl 3.35, 1 Sb 3.59
Ba 0.2988 0.2988 0.5976  1 Cl 3.35, 1 Sb 3.59
Cl 0.4264 0.4264 0.8528  4 Ca 2.65
Cl 0.5736 0.5736 0.1472  4 Ca 2.65
Ca 0.9215 0.4215 0.8430  2 Cl 2.65
Ca 0.0785 0.5785 0.1570  2 Cl 2.65
Ca 0.5785 0.0785 0.1570  2 Cl 2.65
Ca 0.4215 0.9215 0.8430  2 Cl 2.65

Computed properties:
M_tot: 0.7 μB/f.u.
SG: I4/mmm, No. 139
ΔE_f (raw): -1.30 eV per atom